# LaNbWF2

A relaxed LaNbWF2 crystal (PBE+U, Alexandria).

Summary:
- M_tot: 0.74 μB per formula unit
- Total energy: -5.7526 eV per atom

Lattice parameters (Å, degrees): 4.288 4.288 5.741 90.00 90.00 90.00
Fractional coordinates of all 5 atoms:
1 La 0.000 0.000 0.000
2 Nb 0.500 0.500 0.000
3 W 0.500 0.500 0.500
4 F 0.000 0.500 0.500
5 F 0.500 0.000 0.500